Hf2ZrCd: optimized geometry, PBE.

Output
Space group = P1
Calculated volume = 22.2 Å³ per atom
Calculated formation energy = 0.0546 eV per atom

The structure in extended XYZ format:
```
4
Lattice="-2.730 -2.834 -3.685 3.550 -4.112 -1.079 -0.555 -2.259 2.160" Properties=species:S:1:pos:R:3 pbc="T T T"
Hf 1.263 -6.565 -0.298
Cd 0.545 -2.050 -0.414
Zr 0.092 -6.767 -3.161
Hf -1.060 -4.608 -1.178
```